The following is a PBE-GGA calculation of a geometry-optimized NdPaZn structure, from Alexandria.

abc: 5.304 5.304 6.219
angles: 90.00 90.00 119.96
Each line ends with the local moment (μB).
Fractional positions:
Pa  0.000  0.000  0.000  0.97
Pa  0.000  0.000  0.500  0.97
Nd  0.333  0.667  0.250  0.09
Nd  0.667  0.333  0.750  0.09
Zn  0.333  0.667  0.750  0.00
Zn  0.667  0.333  0.250  0.00

Summary:
* total magnetic moment: 2.8 μB/cell
* SG: P6_3/mmc
* offset from the most stable computed form: 57.0 meV per atom
* energy of formation from the pure elements: 0.139 eV per atom